# Tb3HoMg | the Alexandria database | PBE | optimized geometry
# Calculated formation energy = -0.018 eV/atom
# Relative energy among the computed polymorphs = 0.0 meV per atom
# Electronic total energy = -80.6 eV/cell
# Density of states at the Fermi level = 1.317 states/eV per atom
data_Tb3HoMg
_cell_length_a 12.835
_cell_length_b 3.667
_cell_length_c 12.848
_cell_angle_alpha 90.00
_cell_angle_beta 93.31
_cell_angle_gamma 90.00
_space_group_name_H-M_alt 'C 1 2/m 1'
_space_group_IT_number 12
loop_
_space_group_symop_operation_xyz
'x,y,z'
'-x,-y,-z'
'-x,y,-z'
'x,-y,z'
'x+1/2,y+1/2,z'
'-x+1/2,-y+1/2,-z'
'-x+1/2,y+1/2,-z'
'x+1/2,-y+1/2,z'
loop_
_atom_site_label
_atom_site_fract_x
_atom_site_fract_y
_atom_site_fract_z
Tb1 0.036 0.000 0.188
Tb2 0.135 0.500 0.976
Tb3 0.149 0.000 0.439
Ho1 0.233 0.000 0.760
Mg1 0.062 0.500 0.626

---

# Tb3Ho4Mg4 | the Alexandria database | PBE | optimized geometry
# Calculated formation energy = 0.115 eV/atom
# Electronic total energy = -74.6 eV/cell
# Density of states at the Fermi level = 1.047 states/eV per atom
data_Tb3Ho4Mg4
_cell_length_a 5.431
_cell_length_b 6.899
_cell_length_c 17.342
_cell_angle_alpha 90.00
_cell_angle_beta 90.00
_cell_angle_gamma 90.00
_space_group_name_H-M_alt 'I m m m'
_space_group_IT_number 71
_space_group_name_Hall '-I 2 2'
loop_
_atom_site_label
_atom_site_fract_x
_atom_site_fract_y
_atom_site_fract_z
Tb1 0.000 0.000 0.000
Tb2 0.000 0.500 0.108
Ho1 0.000 0.261 0.314
Mg1 0.000 0.000 0.170
Mg2 0.000 0.218 0.500

---

# Tb2HoMg | the Alexandria database | PBE | optimized geometry
# Calculated formation energy = 0.037 eV/atom
# Relative energy among the computed polymorphs = 63.6 meV per atom
# Electronic total energy = -15.3 eV/cell
# Density of states at the Fermi level = 1.237 states/eV per atom
data_Tb2HoMg
_cell_length_a 5.535
_cell_length_b 5.535
_cell_length_c 3.851
_cell_angle_alpha 90.00
_cell_angle_beta 90.00
_cell_angle_gamma 90.00
_space_group_name_H-M_alt 'P 4/m m m'
_space_group_IT_number 123
_space_group_name_Hall '-P 4 2'
loop_
_atom_site_label
_atom_site_fract_x
_atom_site_fract_y
_atom_site_fract_z
Tb1 0.000 0.500 0.000
Ho1 0.000 0.000 0.500
Mg1 0.500 0.500 0.500

---

# Tb3HoMg7 | the Alexandria database | PBE | optimized geometry
# Calculated formation energy = 0.196 eV/atom
# Relative energy among the computed polymorphs = 114.7 meV per atom
# Electronic total energy = -54.9 eV/cell
# Density of states at the Fermi level = 0.908 states/eV per atom
data_Tb3HoMg7
_cell_length_a 10.742
_cell_length_b 10.226
_cell_length_c 6.075
_cell_angle_alpha 90.00
_cell_angle_beta 107.96
_cell_angle_gamma 90.00
_space_group_name_H-M_alt 'C 1 2/m 1'
_space_group_IT_number 12
loop_
_space_group_symop_operation_xyz
'x,y,z'
'-x,-y,-z'
'-x,y,-z'
'x,-y,z'
'x+1/2,y+1/2,z'
'-x+1/2,-y+1/2,-z'
'-x+1/2,y+1/2,-z'
'x+1/2,-y+1/2,z'
loop_
_atom_site_label
_atom_site_fract_x
_atom_site_fract_y
_atom_site_fract_z
Tb1 0.000 0.000 0.000
Tb2 0.000 0.194 0.500
Ho1 0.000 0.500 0.000
Mg1 0.000 0.500 0.500
Mg2 0.191 0.245 0.187
Mg3 0.238 0.000 0.522

---

What did the third record say?
# Tb2HoMg | the Alexandria database | PBE | optimized geometry
# Calculated formation energy = 0.037 eV/atom
# Relative energy among the computed polymorphs = 63.6 meV per atom
# Electronic total energy = -15.3 eV/cell
# Density of states at the Fermi level = 1.237 states/eV per atom
data_Tb2HoMg
_cell_length_a 5.535
_cell_length_b 5.535
_cell_length_c 3.851
_cell_angle_alpha 90.00
_cell_angle_beta 90.00
_cell_angle_gamma 90.00
_space_group_name_H-M_alt 'P 4/m m m'
_space_group_IT_number 123
_space_group_name_Hall '-P 4 2'
loop_
_atom_site_label
_atom_site_fract_x
_atom_site_fract_y
_atom_site_fract_z
Tb1 0.000 0.500 0.000
Ho1 0.000 0.000 0.500
Mg1 0.500 0.500 0.500

---

- Which of these has the lowest electronic total energy?
  Tb3HoMg